(1)
Computed, not measured: TbCeDyHo3 after structural relaxation at the GGA-PBE level of DFT.

It has space group Cmcm (No. 63), with a = 5.006 Å, b = 14.977 Å, c = 9.978 Å, α = 90.00°, β = 90.00° and γ = 90.00°. The distinct sites, in fractional coordinates, are Tb at (0.000, 0.000, 0.000), Ce at (0.000, 0.500, 0.250), Dy at (0.000, 0.167, 0.250), Ho at (0.000, 0.167, 0.750) and Ho at (0.000, 0.335, 0.000).

The magnetization comes out at 1.0 μB per formula unit. The electronic total energy comes out at -4.7629 eV per atom.

(2)
Computed, not measured: TbCeDy2Ho after structural relaxation at the GGA-PBE level of DFT.

It has space group P2/c (No. 13), with a = 7.968 Å, b = 6.863 Å, c = 5.876 Å, α = 90.00°, β = 90.14° and γ = 90.00°. The distinct sites, in fractional coordinates, are Tb at (0.000, 0.163, 0.250), Ce at (0.500, 0.000, 0.000), Dy at (0.201, 0.312, 0.751) and Ho at (0.500, 0.406, 0.250).

The magnetization comes out at 1.7 μB per formula unit. The electronic total energy comes out at -4.5688 eV per atom.

(3)
Computed, not measured: Tb2CeDy2Ho after structural relaxation at the GGA-PBE level of DFT.

It has space group Pnnm (No. 58), with a = 6.873 Å, b = 15.970 Å, c = 3.479 Å, α = 90.00°, β = 90.00° and γ = 90.00°. The distinct sites, in fractional coordinates, are Tb at (0.249, 0.155, 0.000), Ce at (0.000, 0.000, 0.500), Dy at (0.248, 0.846, 0.000) and Ho at (0.000, 0.500, 0.000).

The magnetization comes out at 0.4 μB per formula unit. The electronic total energy comes out at -4.6617 eV per atom.

(4)
Computed, not measured: Tb6CeDyHo2 after structural relaxation at the GGA-PBE level of DFT.

It has space group C2/m (No. 12), with a = 11.382 Å, b = 6.739 Å, c = 8.940 Å, α = 90.00°, β = 107.26° and γ = 90.00°. The distinct sites, in fractional coordinates, are Tb at (0.131, 0.000, 0.419), Tb at (0.168, 0.259, 0.803), Ce at (0.000, 0.000, 0.000), Dy at (0.000, 0.500, 0.500) and Ho at (0.091, 0.500, 0.174).

The magnetization comes out at 1.7 μB per formula unit. The electronic total energy comes out at -4.4957 eV per atom.

(5)
Computed, not measured: Tb3CeDyHo after structural relaxation at the GGA-PBE level of DFT.

It has space group Cmcm (No. 63), with a = 5.019 Å, b = 15.040 Å, c = 10.026 Å, α = 90.00°, β = 90.00° and γ = 90.00°. The distinct sites, in fractional coordinates, are Tb at (0.000, 0.164, 0.000), Tb at (0.000, 0.333, 0.250), Ce at (0.000, 0.000, 0.250), Dy at (0.000, 0.500, 0.000) and Ho at (0.000, 0.333, 0.750).

The magnetization comes out at 1.1 μB per formula unit. The electronic total energy comes out at -4.7810 eV per atom.

(6)
Computed, not measured: TbCeDyHo after structural relaxation at the GGA-PBE level of DFT.

It has space group F-43m (No. 216), with a = 7.987 Å, b = 7.987 Å, c = 7.987 Å, α = 90.00°, β = 90.00° and γ = 90.00°. The distinct sites, in fractional coordinates, are Tb at (0.000, 0.000, 0.000), Ce at (0.000, 0.000, 0.500), Dy at (0.250, 0.250, 0.250) and Ho at (0.250, 0.250, 0.750).

The magnetization comes out at 1.2 μB per formula unit. The electronic total energy comes out at -4.7613 eV per atom.

(7)
Computed, not measured: TbCeDy2Ho4 after structural relaxation at the GGA-PBE level of DFT.

It has space group P4/mmm (No. 123), with a = 5.000 Å, b = 5.000 Å, c = 9.973 Å, α = 90.00°, β = 90.00° and γ = 90.00°. The distinct sites, in fractional coordinates, are Tb at (0.000, 0.000, 0.000), Ce at (0.500, 0.500, 0.500), Dy at (0.000, 0.000, 0.500), Dy at (0.500, 0.500, 0.000) and Ho at (0.000, 0.500, 0.251).

The magnetization comes out at 0.9 μB per formula unit. The electronic total energy comes out at -4.7168 eV per atom.

(8)
Computed, not measured: Tb3Ce2Dy6Ho after structural relaxation at the GGA-PBE level of DFT.

It has space group C2/m (No. 12), with a = 6.131 Å, b = 10.617 Å, c = 11.727 Å, α = 90.00°, β = 100.04° and γ = 90.00°. The distinct sites, in fractional coordinates, are Tb at (0.000, 0.000, 0.000), Tb at (0.000, 0.334, 0.000), Ce at (0.000, 0.166, 0.500), Dy at (0.248, 0.000, 0.749), Dy at (0.249, 0.168, 0.252) and Ho at (0.000, 0.500, 0.500).

The magnetization comes out at 1.8 μB per formula unit. The electronic total energy comes out at -4.7838 eV per atom.

(9)
Computed, not measured: Tb3CeDy6Ho2 after structural relaxation at the GGA-PBE level of DFT.

It has space group C2/m (No. 12), with a = 6.139 Å, b = 10.629 Å, c = 11.749 Å, α = 90.00°, β = 100.02° and γ = 90.00°. The distinct sites, in fractional coordinates, are Tb at (0.000, 0.000, 0.000), Tb at (0.000, 0.333, 0.000), Ce at (0.000, 0.500, 0.500), Dy at (0.248, 0.500, 0.251), Dy at (0.249, 0.334, 0.749) and Ho at (0.000, 0.167, 0.500).

The magnetization comes out at 1.1 μB per formula unit. The electronic total energy comes out at -4.6819 eV per atom.

(10)
Computed, not measured: Tb2CeDyHo5 after structural relaxation at the GGA-PBE level of DFT.

It has space group Cmc2_1 (No. 36), with a = 5.671 Å, b = 21.447 Å, c = 9.511 Å, α = 90.00°, β = 90.00° and γ = 90.00°. The distinct sites, in fractional coordinates, are Tb at (0.000, 0.114, 0.000), Tb at (0.000, 0.134, 0.385), Ce at (0.000, 0.191, 0.698), Dy at (0.000, 0.403, 0.106), Ho at (0.000, 0.014, 0.691), Ho at (0.000, 0.267, 0.011), Ho at (0.000, 0.307, 0.393), Ho at (0.000, 0.395, 0.722) and Ho at (0.000, 0.471, 0.425).

The magnetization comes out at 0.6 μB per formula unit. The electronic total energy comes out at -4.5726 eV per atom.

(11)
Computed, not measured: Tb6Ce2DyHo3 after structural relaxation at the GGA-PBE level of DFT.

It has space group C2/m (No. 12), with a = 6.132 Å, b = 10.621 Å, c = 11.748 Å, α = 90.00°, β = 100.02° and γ = 90.00°. The distinct sites, in fractional coordinates, are Tb at (0.248, 0.168, 0.250), Tb at (0.249, 0.000, 0.750), Ce at (0.000, 0.167, 0.500), Dy at (0.000, 0.500, 0.500), Ho at (0.000, 0.000, 0.000) and Ho at (0.000, 0.334, 0.000).

The magnetization comes out at 1.9 μB per formula unit. The electronic total energy comes out at -4.7843 eV per atom.

(12)
Computed, not measured: Tb5CeDyHo2 after structural relaxation at the GGA-PBE level of DFT.

It has space group Cmc2_1 (No. 36), with a = 5.693 Å, b = 21.508 Å, c = 9.549 Å, α = 90.00°, β = 90.00° and γ = 90.00°. The distinct sites, in fractional coordinates, are Tb at (0.000, 0.014, 0.000), Tb at (0.000, 0.267, 0.319), Tb at (0.000, 0.305, 0.701), Tb at (0.000, 0.394, 0.033), Tb at (0.000, 0.471, 0.736), Ce at (0.000, 0.191, 0.009), Dy at (0.000, 0.403, 0.416), Ho at (0.000, 0.114, 0.311) and Ho at (0.000, 0.133, 0.696).

The magnetization comes out at 0.6 μB per formula unit. The electronic total energy comes out at -4.5902 eV per atom.

(13)
Computed, not measured: TbCeDyHo2 after structural relaxation at the GGA-PBE level of DFT.

It has space group Pmma (No. 51), with a = 5.877 Å, b = 8.046 Å, c = 6.774 Å, α = 90.00°, β = 90.00° and γ = 90.00°. The distinct sites, in fractional coordinates, are Tb at (0.250, 0.000, 0.165), Ce at (0.000, 0.500, 0.000), Dy at (0.250, 0.500, 0.412) and Ho at (0.250, 0.199, 0.689).

The magnetization comes out at 1.7 μB per formula unit. The electronic total energy comes out at -4.5609 eV per atom.

(14)
Computed, not measured: TbCeDy2Ho5 after structural relaxation at the GGA-PBE level of DFT.

It has space group Cmc2_1 (No. 36), with a = 5.666 Å, b = 21.409 Å, c = 9.514 Å, α = 90.00°, β = 90.00° and γ = 90.00°. The distinct sites, in fractional coordinates, are Tb at (0.000, 0.097, 0.000), Ce at (0.000, 0.308, 0.594), Dy at (0.000, 0.365, 0.280), Dy at (0.000, 0.387, 0.895), Ho at (0.000, 0.029, 0.320), Ho at (0.000, 0.106, 0.617), Ho at (0.000, 0.193, 0.288), Ho at (0.000, 0.233, 0.906) and Ho at (0.000, 0.486, 0.586).

The magnetization comes out at 0.6 μB per formula unit. The electronic total energy comes out at -4.5680 eV per atom.

(15)
Computed, not measured: Tb2CeDyHo after structural relaxation at the GGA-PBE level of DFT.

It has space group Pmma (No. 51), with a = 5.897 Å, b = 8.057 Å, c = 6.770 Å, α = 90.00°, β = 90.00° and γ = 90.00°. The distinct sites, in fractional coordinates, are Tb at (0.250, 0.198, 0.190), Ce at (0.000, 0.500, 0.500), Dy at (0.250, 0.500, 0.913) and Ho at (0.250, 0.000, 0.662).

The magnetization comes out at 1.7 μB per formula unit. The electronic total energy comes out at -4.5739 eV per atom.

(16)
Computed, not measured: Tb5CeDy2Ho after structural relaxation at the GGA-PBE level of DFT.

It has space group Cmc2_1 (No. 36), with a = 5.696 Å, b = 21.547 Å, c = 9.541 Å, α = 90.00°, β = 90.00° and γ = 90.00°. The distinct sites, in fractional coordinates, are Tb at (0.000, 0.014, 0.000), Tb at (0.000, 0.267, 0.320), Tb at (0.000, 0.305, 0.702), Tb at (0.000, 0.395, 0.034), Tb at (0.000, 0.471, 0.737), Ce at (0.000, 0.190, 0.009), Dy at (0.000, 0.114, 0.312), Dy at (0.000, 0.133, 0.697) and Ho at (0.000, 0.403, 0.417).

The magnetization comes out at 0.6 μB per formula unit. The electronic total energy comes out at -4.5942 eV per atom.

(17)
Computed, not measured: Ce2Dy3HoTe6 after structural relaxation at the GGA-PBE level of DFT.

It has space group C2/m (No. 12), with a = 19.215 Å, b = 4.361 Å, c = 8.867 Å, α = 90.00°, β = 104.05° and γ = 90.00°. The distinct sites, in fractional coordinates, are Ce at (0.168, 0.000, 0.336), Dy at (0.000, 0.500, 0.500), Dy at (0.169, 0.000, 0.834), Ho at (0.000, 0.500, 0.000), Te at (0.003, 0.000, 0.753), Te at (0.163, 0.500, 0.590) and Te at (0.165, 0.500, 0.076).

Its energy relative to the elements, uncorrected is -1.311 eV/atom. The magnetization comes out at 2.5 μB per formula unit. The electronic total energy comes out at -5.4024 eV per atom.

(18)
Computed, not measured: Ce4Dy3HoTe8 after structural relaxation at the GGA-PBE level of DFT.

It has space group R-3m (No. 166, hexagonal axes), with a = 8.7645 Å, b = 8.7645 Å, c = 22.0296 Å, α = 90.00°, β = 90.00° and γ = 120.00°. The distinct sites, in fractional coordinates, are Ce at (0.0000, 0.0000, 0.0000), Ce at (0.0000, 0.5000, 0.0000), Dy at (0.0000, 0.5000, 0.5000), Ho at (0.0000, 0.0000, 0.5000), Te at (0.0000, 0.0000, 0.2462) and Te at (0.0007, 0.5004, 0.2460).

Its energy relative to the elements, uncorrected is -1.332 eV/atom. The magnetization comes out at 5.0 μB per formula unit. The electronic total energy comes out at -5.5357 eV per atom.

(19)
Computed, not measured: Ce4DyHo3Te8 after structural relaxation at the GGA-PBE level of DFT.

It has space group R-3m (No. 166, hexagonal axes), with a = 8.7448 Å, b = 8.7448 Å, c = 22.0590 Å, α = 90.00°, β = 90.00° and γ = 120.00°. The distinct sites, in fractional coordinates, are Ce at (0.0000, 0.0000, 0.0000), Ce at (0.0000, 0.5000, 0.0000), Dy at (0.0000, 0.0000, 0.5000), Ho at (0.0000, 0.5000, 0.5000), Te at (0.0000, 0.0000, 0.2456) and Te at (0.0007, 0.5004, 0.7542).

Its energy relative to the elements, uncorrected is -1.325 eV/atom. The magnetization comes out at 5.0 μB per formula unit. The electronic total energy comes out at -5.5250 eV per atom.

(20)
Computed, not measured: Ce3Dy2HoTe6 after structural relaxation at the GGA-PBE level of DFT.

It has space group C2/m (No. 12), with a = 7.575 Å, b = 13.145 Å, c = 7.774 Å, α = 90.00°, β = 109.01° and γ = 90.00°. The distinct sites, in fractional coordinates, are Ce at (0.000, 0.000, 0.000), Ce at (0.000, 0.333, 0.000), Dy at (0.000, 0.167, 0.500), Ho at (0.000, 0.500, 0.500), Te at (0.245, 0.334, 0.738) and Te at (0.247, 0.000, 0.739).

Its energy relative to the elements, uncorrected is -1.332 eV/atom. The magnetization comes out at 3.6 μB per formula unit. The electronic total energy comes out at -5.5343 eV per atom.